[1]
Density functional theory data (GGA-PBE) for a relaxed structure of Ti3HPb. Values from VASP.

```
&SYSTEM
  ibrav = 0, nat = 10, ntyp = 3
/
ATOMIC_SPECIES
Ti 47.87 Ti.upf
Pb 207.20 Pb.upf
H 1.01 H.upf
CELL_PARAMETERS angstrom
2.750 -1.588 0.000
0.000 3.175 0.000
0.000 0.000 18.634
ATOMIC_POSITIONS crystal
Ti 0.333 0.667 0.868
Ti 0.000 0.000 0.250
Ti 0.333 0.667 0.632
Ti 0.000 0.000 0.750
Ti 0.667 0.333 0.368
Ti 0.667 0.333 0.132
Pb 0.000 0.000 0.000
Pb 0.000 0.000 0.500
H 0.667 0.333 0.250
H 0.333 0.667 0.750
```

---

[2]
Density functional theory data (GGA-PBE) for a relaxed structure of Ti3HPb. Values from VASP.

```
&SYSTEM
  ibrav = 0, nat = 10, ntyp = 3
/
ATOMIC_SPECIES
H 1.01 H.upf
Pb 207.20 Pb.upf
Ti 47.87 Ti.upf
CELL_PARAMETERS angstrom
-5.132 -2.352 1.658
4.820 -3.493 -1.082
1.956 1.266 4.591
ATOMIC_POSITIONS crystal
H 0.474 0.185 0.374
H 0.375 0.286 0.778
Pb 0.201 0.695 0.065
Pb 0.741 0.964 0.684
Ti 0.246 0.221 0.102
Ti 0.728 0.707 0.185
Ti 0.214 0.956 0.570
Ti 0.730 0.213 0.178
Ti 0.215 0.451 0.563
Ti 0.703 0.449 0.647
```

---

Quick rundown of electronic total energy, same order as above: -6.12; -6.33 eV/atom
Quick rundown of relative energy among the computed polymorphs, same order as above: 237; 26 meV per atom
Quick rundown of M_tot, same order as above: 0.00; 0.00 μB per formula unit